Entry 1:
BaLaTl2: relaxed, PBE.

Its density of states at the Fermi level is 18.00 states/eV per cell. Its formation energy is -0.87 eV per formula unit.

The structure belongs to space group R-3m (No. 166, hexagonal axes); the cell edges are 4.1532, 4.1532 and 30.9314 Å and the angles 90.00°, 90.00° and 120.00°. The asymmetric unit holds Ba at (0.0000, 0.0000, 0.0000), La at (0.0000, 0.0000, 0.5000) and Tl at (0.0000, 0.0000, 0.2451).

Entry 2:
BaLa2Tl2: relaxed, PBE.

Its density of states at the Fermi level is 15.20 states/eV per cell. Its formation energy is -1.54 eV per formula unit. The value obtained for the energy above the most stable polymorph in this dataset is 0.0 meV per atom.

The structure belongs to space group P4/mbm (No. 127); the cell edges are 9.672, 9.672 and 3.708 Å and the angles 90.00°, 90.00° and 90.00°. The asymmetric unit holds Ba at (0.000, 0.000, 0.000), La at (0.117, 0.383, 0.000) and Tl at (0.179, 0.679, 0.500).

Entry 3:
BaLa2Tm: relaxed, PBE.

Its density of states at the Fermi level is 20.95 states/eV per cell. Its formation energy is 0.77 eV per formula unit. The value obtained for the energy above the most stable polymorph in this dataset is 84.1 meV per atom.

The structure belongs to space group R-3m (No. 166, hexagonal axes); the cell edges are 3.7098, 3.7098 and 39.7039 Å and the angles 90.00°, 90.00° and 120.00°. The asymmetric unit holds Ba at (0.0000, 0.0000, 0.0000), La at (0.0000, 0.0000, 0.0944) and Tm at (0.0000, 0.0000, 0.5000).